12
Lattice="6.441 0.000 0.000 -3.221 5.578 0.000 0.000 0.000 4.294" Properties=species:S:1:pos:R:3 comment="BeIr, relaxed, DFT PBE-GGA" magnetic_moment_mub_per_atom=0.00 formation_enthalpy_0k_ev_per_fu=-0.15 energy_ev_per_atom=-6.3697 volume_a3_per_atom=12.9 spacegroup=P6_3/m pbc="T T T"
Be -0.930 2.578 1.074
Be -0.523 5.095 1.074
Be 1.768 2.095 3.221
Be 1.453 3.484 1.074
Be 3.743 0.484 3.221
Be 4.151 3.000 3.221
Ir -0.639 1.518 3.221
Ir -1.586 5.372 3.221
Ir 0.996 1.312 1.074
Ir 2.225 4.266 3.221
Ir 4.807 0.206 1.074
Ir 3.859 4.060 1.074